# GGA-PBE CoAsRh2, relaxed
data_CoAsRh2
_cell_length_a 2.886
_cell_length_b 2.886
_cell_length_c 6.689
_cell_angle_alpha 90.00
_cell_angle_beta 90.00
_cell_angle_gamma 90.00
_symmetry_space_group_name_H-M 'P 4/m m m'
_symmetry_Int_Tables_number 123
_symmetry_space_group_name_Hall '-P 4 2'
loop_
_atom_site_label
_atom_site_type_symbol
_atom_site_fract_x
_atom_site_fract_y
_atom_site_fract_z
Co1 Co 0.000 0.000 0.000
As1 As 0.000 0.000 0.500
Rh1 Rh 0.500 0.500 0.252
# Raw total energy = -6.63 eV/atom
# Calculated volume = 13.9 Å³/atom
# Magnetization = 2.7 Bohr magnetons per cell
# Formation energy from the elements = -0.01 eV/atom